A plane-wave DFT calculation with PBE+U was carried out for CsLuCoO3 after structural relaxation.

Calculated volume (Å³ per atom): 17.11
Total DFT energy (no corrections) (eV/atom): -6.37
Space group: Cmcm (63)

```
data_CsLuCoO3
_chemical_formula_sum 'Cs2 Lu2 Co2 O6'
_space_group_name_H-M_alt 'P 1'
_space_group_IT_number 1
_space_group_name_Hall 'P 1'
_cell_length_a 8.918
_cell_length_b 6.847
_cell_length_c 6.847
_cell_angle_alpha 29.40
_cell_angle_beta 90.00
_cell_angle_gamma 90.00
loop_
_atom_site_label
_atom_site_type_symbol
_atom_site_fract_x
_atom_site_fract_y
_atom_site_fract_z
_atom_site_occupancy
Co1 Co 0.000 0.444 0.444 1
Co2 Co 0.500 0.556 0.556 1
Cs1 Cs 0.500 0.279 0.279 1
Cs2 Cs 0.000 0.721 0.721 1
Lu1 Lu 0.250 0.000 0.000 1
Lu2 Lu 0.750 0.000 0.000 1
O1 O 0.000 0.026 0.026 1
O2 O 0.203 0.397 0.397 1
O3 O 0.797 0.397 0.397 1
O4 O 0.297 0.603 0.603 1
O5 O 0.703 0.603 0.603 1
O6 O 0.500 0.974 0.974 1
```